# 1
A plane-wave DFT calculation with PBE-GGA was carried out for a relaxed ZrSc4 crystal.

abc: 5.7510 5.7510 5.7510
angles: 109.47 109.47 109.47
Sites, in units of the cell vectors:
Zr1 0.0000 0.0000 0.0000
Sc1 0.5000 0.0000 0.0000
Sc2 0.5000 0.5000 0.5000
Sc3 0.0000 0.5000 0.0000
Sc4 0.0000 0.0000 0.5000

Output
Energy above the most stable polymorph in this dataset = 0.750 eV per atom
Calculated density = 3.1 g cm⁻³
E_form = 0.771 eV/atom

# 2
A plane-wave DFT calculation with PBE-GGA was carried out for a relaxed ZnSn2O crystal.

abc: 5.3679 5.3679 7.3830
angles: 68.68 68.68 90.00
Sites, in units of the cell vectors:
Zn1 0.0000 0.0000 0.0000
Zn2 0.7500 0.2500 0.5000
Sn1 0.5515 0.1250 0.2500
Sn2 0.1985 0.6250 0.2500
Sn3 0.3750 0.4485 0.7500
Sn4 0.8750 0.8015 0.7500
O1 0.5000 0.5000 0.0000
O2 0.2500 0.7500 0.5000

Output
Energy above the most stable polymorph in this dataset = 0.000 eV per atom
Uncorrected formation energy = -0.31 eV per atom
Calculated density = 5.8 g cm⁻³

# 3
A plane-wave DFT calculation with PBE-GGA was carried out for a relaxed PaTi2Ge2 crystal.

abc: 6.8409 6.8409 5.4438
angles: 111.24 111.24 101.06
Sites, in units of the cell vectors:
Pa1 0.8953 0.6047 0.7500
Pa2 0.1047 0.3953 0.2500
Ti1 0.2318 0.9190 0.5153
Ti2 0.4190 0.7318 0.0153
Ti3 0.7682 0.0810 0.4847
Ti4 0.5810 0.2682 0.9847
Ge1 0.1909 0.3091 0.7500
Ge2 0.3777 0.1223 0.2500
Ge3 0.6223 0.8777 0.7500
Ge4 0.8091 0.6909 0.2500

Output
Calculated density = 7.6 g cm⁻³
E_form = -0.190 eV/atom

# 4
A plane-wave DFT calculation with PBE-GGA was carried out for a relaxed Ac3ZrTl3Se8 crystal.

abc: 8.8529 8.8527 9.3092
angles: 118.40 90.00 120.00
Sites, in units of the cell vectors:
Ac1 0.5000 0.0000 0.5000
Ac2 0.5000 0.5000 0.5000
Ac3 0.0000 0.5000 0.5000
Zr1 0.0000 0.0000 0.5000
Tl1 0.0000 0.0000 0.0000
Tl2 0.0000 0.5000 0.0000
Tl3 0.5000 0.5000 0.0000
Se1 0.2595 0.5190 0.2787
Se2 0.7405 0.4810 0.7213
Se3 0.7840 0.5680 0.2984
Se4 0.2160 0.4320 0.7016
Se5 0.7840 0.0143 0.2984
Se6 0.2160 0.9857 0.7016
Se7 0.2302 0.0143 0.2984
Se8 0.7698 0.9857 0.7016

Output
Uncorrected formation energy = -1.40 eV per atom
Calculated density = 6.3 g cm⁻³

# 5
A plane-wave DFT calculation with PBE-GGA was carried out for a relaxed KInSi2 crystal.

abc: 3.7696 4.0025 7.4572
angles: 74.50 90.00 90.00
Sites, in units of the cell vectors:
In1 0.0000 0.4866 0.4035
K1 0.5000 0.7995 0.7735
Si1 0.0000 0.1565 0.0610
Si2 0.5000 0.0575 0.2619

Output
Uncorrected formation energy = 0.16 eV per atom
Calculated density = 3.2 g cm⁻³

# 6
A plane-wave DFT calculation with PBE-GGA was carried out for a relaxed RbEuCdBi crystal.

abc: 5.8959 5.8959 5.8959
angles: 60.00 60.00 60.00
Sites, in units of the cell vectors:
Eu1 0.0000 0.0000 0.0000
Bi1 0.2500 0.2500 0.2500
Rb1 0.5000 0.5000 0.5000
Cd1 0.7500 0.7500 0.7500

Output
Calculated density = 6.4 g cm⁻³
E_form = -0.369 eV/atom

# 7
A plane-wave DFT calculation with PBE-GGA was carried out for a relaxed Ho12ErTm2 crystal.

abc: 6.5210 6.5210 24.7787
angles: 83.39 96.61 65.21
Sites, in units of the cell vectors:
Ho1 0.5899 0.3873 0.7995
Ho2 0.1127 0.9101 0.7995
Ho3 0.8962 0.6038 0.8575
Ho4 0.4465 0.5521 0.9265
Ho5 0.9776 0.9828 0.3293
Ho6 0.0535 0.9479 0.0735
Ho7 0.6782 0.3477 0.5553
Ho8 0.5172 0.5224 0.3293
Ho9 0.4070 0.0930 0.8711
Ho10 0.6038 0.8962 0.1425
Ho11 0.1932 0.3068 0.5955
Ho12 0.8218 0.1523 0.4447
Ho13 0.9828 0.9776 0.6707
Ho14 0.3068 0.1932 0.4045
Ho15 0.0930 0.4070 0.1289
Ho16 0.8583 0.6417 0.4379
Ho17 0.6417 0.8583 0.5621
Ho18 0.9101 0.1127 0.2005
Ho19 0.1523 0.8218 0.5553
Ho20 0.5224 0.5172 0.6707
Ho21 0.9479 0.0535 0.9265
Ho22 0.3873 0.5899 0.2005
Ho23 0.3477 0.6782 0.4447
Ho24 0.5521 0.4465 0.0735
Er1 0.5045 0.9955 0.0060
Er2 0.9955 0.5045 0.9940
Tm1 0.4381 0.0619 0.2677
Tm2 0.9611 0.5389 0.2675
Tm3 0.0619 0.4381 0.7323
Tm4 0.5389 0.9611 0.7325

Output
Calculated density = 8.8 g cm⁻³
E_form = 0.121 eV/atom

# 8
A plane-wave DFT calculation with PBE-GGA was carried out for a relaxed GeB crystal.

abc: 9.2747 9.2746 3.4883
angles: 90.00 90.00 90.00
Sites, in units of the cell vectors:
Ge1 0.8011 0.4194 0.5000
Ge2 0.1989 0.5806 0.5000
Ge3 0.5806 0.8011 0.5000
Ge4 0.4194 0.1989 0.5000
Ge5 0.8595 0.6671 0.0000
Ge6 0.1405 0.3329 0.0000
Ge7 0.3329 0.8595 0.0000
Ge8 0.6671 0.1405 0.0000
B1 0.7454 0.6545 0.5000
B2 0.2546 0.3455 0.5000
B3 0.3455 0.7454 0.5000
B4 0.6545 0.2546 0.5000
B5 0.9368 0.4328 0.0000
B6 0.0632 0.5672 0.0000
B7 0.5672 0.9368 0.0000
B8 0.4328 0.0632 0.0000

Output
Energy above the most stable polymorph in this dataset = 0.175 eV per atom
Calculated density = 3.7 g cm⁻³
E_form = 0.553 eV/atom

Number 1: electronic total energy -0.2206 Ha/atom. Number 2: electronic total energy -0.1421 Ha/atom. Number 3: electronic total energy -0.2607 Ha/atom. Number 4: electronic total energy -0.1882 Ha/atom. Number 5: electronic total energy -0.1292 Ha/atom. Number 6: electronic total energy -0.1609 Ha/atom. Number 7: electronic total energy -0.1632 Ha/atom. Number 8: electronic total energy -0.1872 Ha/atom.